Entry 1:
! La5SmEr2 PBE relaxed; values from VASP
! E	-4.68	eV/atom
! space group	No. 15
! D(E_F)	27.9	states/eV per cell
! energy above the most stable polymorph in this dataset	0.000	eV/atom
&SYSTEM
  ibrav = 0, nat = 16, ntyp = 3
/
ATOMIC_SPECIES
La 138.91 La.upf
Sm 150.36 Sm.upf
Er 167.26 Er.upf
CELL_PARAMETERS angstrom
9.3269 0.0000 -3.9901
-0.9685 6.2788 -2.2640
-0.8898 -1.6973 10.8161
ATOMIC_POSITIONS angstrom
La 3.9453 3.0528 -1.1963
La 7.0928 2.8698 1.4600
La 1.2472 4.6682 5.3930
La 1.4997 4.8512 1.2821
La 8.0410 4.7091 -5.4487
La 3.5233 1.5288 5.7584
La 5.9689 -0.2696 3.2800
La 0.3758 1.7118 3.1021
La 6.2214 -0.0866 -0.8309
La 0.3174 1.5697 -0.8053
Sm -0.4449 -0.8486 5.4081
Sm 3.7343 2.2908 2.2810
Er 7.0581 2.9611 -2.6875
Er 4.4754 4.7598 4.1714
Er 2.9932 -0.1783 0.3906
Er 0.4105 1.6204 7.2496

Entry 2:
! La2Sm2Er7 PBE relaxed; values from VASP
! E	-4.31	eV/atom
! space group	No. 65
! D(E_F)	17.1	states/eV per cell
! energy above the most stable polymorph in this dataset	0.200	eV/atom
&SYSTEM
  ibrav = 0, nat = 11, ntyp = 3
/
ATOMIC_SPECIES
Er 167.26 Er.upf
La 138.91 La.upf
Sm 150.36 Sm.upf
CELL_PARAMETERS angstrom
6.6511 -0.0043 -1.7924
0.0052 9.4386 0.0032
-2.2033 0.0003 6.5265
ATOMIC_POSITIONS angstrom
Er 2.2249 1.7296 2.3676
Er 3.3268 2.9916 -0.8950
Er 2.2282 7.7049 2.3696
Er 0.0000 0.0000 0.0000
Er 5.5508 2.9896 1.4722
Er -1.0978 6.4450 3.2650
Er 1.1262 6.4429 5.6322
La 3.3312 4.7163 3.5445
La 1.1218 4.7183 1.1928
Sm 4.1952 -0.0028 0.5149
Sm 0.2578 9.4374 4.2223